[1]
First-principles (PBE) data for a relaxed structure of HoZnTeO6, as listed in the Alexandria database.

Uncorrected energy ... -6.017 eV per atom
Space-group type ... No. 163

Cell and atoms, written as CIF:
```
data_HoZnTeO6
_space_group_name_H-M_alt 'P 1'
_space_group_IT_number 1
_space_group_name_Hall 'P 1'
_cell_length_a 5.229
_cell_length_b 5.229
_cell_length_c 9.766
_cell_angle_alpha 90.00
_cell_angle_beta 90.00
_cell_angle_gamma 120.00
loop_
_atom_site_label
_atom_site_fract_x
_atom_site_fract_y
_atom_site_fract_z
_atom_site_occupancy
Ho1 0.000 0.000 0.000 1
Ho2 0.000 0.000 0.500 1
Zn1 0.333 0.667 0.250 1
Zn2 0.667 0.333 0.750 1
Te1 0.333 0.667 0.750 1
Te2 0.667 0.333 0.250 1
O1 0.021 0.367 0.637 1
O2 0.021 0.654 0.863 1
O3 0.346 0.367 0.863 1
O4 0.346 0.979 0.637 1
O5 0.367 0.021 0.137 1
O6 0.367 0.346 0.363 1
O7 0.633 0.654 0.637 1
O8 0.633 0.979 0.863 1
O9 0.654 0.021 0.363 1
O10 0.654 0.633 0.137 1
O11 0.979 0.346 0.137 1
O12 0.979 0.633 0.363 1
```

[2]
First-principles (PBE) data for a relaxed structure of Mn2MoPt, as listed in the Alexandria database.

Uncorrected energy ... -8.779 eV per atom
Space-group type ... No. 10
Formation energy ... 0.0239 eV/atom

Cell and atoms, written as CIF:
```
data_Mn2MoPt
_space_group_name_H-M_alt 'P 1'
_space_group_IT_number 1
_space_group_name_Hall 'P 1'
_cell_length_a 2.696
_cell_length_b 4.250
_cell_length_c 5.100
_cell_angle_alpha 90.00
_cell_angle_beta 96.92
_cell_angle_gamma 90.00
loop_
_atom_site_label
_atom_site_fract_x
_atom_site_fract_y
_atom_site_fract_z
_atom_site_occupancy
Mn1 0.226 0.000 0.262 1
Mn2 0.774 0.000 0.738 1
Mo1 0.000 0.500 0.500 1
Pt1 0.500 0.500 0.000 1
```

[3]
First-principles (PBE) data for a relaxed structure of Li2ZnCl, as listed in the Alexandria database.

ΔE to the lowest computed polymorph ... 68 meV per atom
Uncorrected energy ... -2.441 eV per atom
Space-group type ... No. 123

Cell and atoms, written as CIF:
```
data_Li2ZnCl
_space_group_name_H-M_alt 'P 1'
_space_group_IT_number 1
_space_group_name_Hall 'P 1'
_cell_length_a 3.288
_cell_length_b 3.288
_cell_length_c 6.243
_cell_angle_alpha 90.00
_cell_angle_beta 90.00
_cell_angle_gamma 90.00
loop_
_atom_site_label
_atom_site_fract_x
_atom_site_fract_y
_atom_site_fract_z
_atom_site_occupancy
Li1 0.000 0.000 0.246 1
Li2 0.000 0.000 0.754 1
Zn1 0.500 0.500 0.500 1
Cl1 0.500 0.500 0.000 1
```

[4]
First-principles (PBE) data for a relaxed structure of Ga2PtRh, as listed in the Alexandria database.

Uncorrected energy ... -5.155 eV per atom
Space-group type ... No. 122
Formation energy ... -0.2936 eV/atom

Cell and atoms, written as CIF:
```
data_Ga2PtRh
_space_group_name_H-M_alt 'P 1'
_space_group_IT_number 1
_space_group_name_Hall 'P 1'
_cell_length_a 5.574
_cell_length_b 5.574
_cell_length_c 5.574
_cell_angle_alpha 105.20
_cell_angle_beta 105.20
_cell_angle_gamma 118.41
loop_
_atom_site_label
_atom_site_fract_x
_atom_site_fract_y
_atom_site_fract_z
_atom_site_occupancy
Ga1 0.123 0.125 0.498 1
Ga2 0.375 0.877 0.002 1
Ga3 0.627 0.625 0.502 1
Ga4 0.875 0.373 0.998 1
Pt1 0.250 0.750 0.500 1
Pt2 0.500 0.500 0.000 1
Rh1 0.000 0.000 0.000 1
Rh2 0.750 0.250 0.500 1
```

Which value of uncorrected energy does entry 4 give? -5.155 eV per atom

The lowest uncorrected energy belongs to which entry? Mn2MoPt

What is the uncorrected energy in the second record? -8.779 eV per atom

Which value of uncorrected energy does entry 2 give? -8.779 eV per atom